No. 1
La2SbRh PBE optimized geometry; calculated total energy = -6.14 eV/atom; space-group type = Cmmm (65)
1.0
1.0254 1.7520 -3.0726
-2.8661 -1.4892 -1.7690
-4.4772 6.1954 2.0384
Rh La Sb
1 2 1
Cartesian
-3.1589 3.2291 -1.4016
-1.2610 1.7449 0.5741
-3.2163 4.4506 1.4643
-0.9203 0.1314 -2.4208

No. 2
Zr2Cu2Rh PBE optimized geometry; energy relative to the elements = -0.296 eV/atom; offset from the most stable computed form = 17 meV per atom; space-group type = P4/mbm (127)
1.0
6.9564 0.0000 0.0000
0.0000 6.9564 0.0000
0.0000 0.0000 3.4570
Cu Zr Rh
4 4 2
Cartesian
0.8501 2.6281 0.0000
2.6281 6.1063 0.0000
6.1063 4.3283 0.0000
4.3283 0.8501 0.0000
5.7079 2.2297 1.7285
2.2297 1.2485 1.7285
4.7267 5.7079 1.7285
1.2485 4.7267 1.7285
0.0000 0.0000 0.0000
3.4782 3.4782 0.0000

No. 3
SrErTeO6 PBE optimized geometry; calculated total energy = -6.45 eV/atom; space-group type = P-31c (163)
1.0
5.6675 0.0000 0.0000
-2.8337 4.9082 0.0000
0.0000 0.0000 10.2860
O Te Er Sr
12 2 2 2
Cartesian
-0.8732 1.9099 1.4824
3.5769 0.1987 8.8036
-1.6163 3.1970 3.6606
1.2174 1.7111 8.8036
1.9605 2.9983 6.6254
0.7432 4.7094 3.6606
3.7069 2.9983 8.8036
0.8732 1.9099 3.6606
1.6163 3.1970 1.4824
2.0906 0.1987 6.6254
4.4501 1.7111 6.6254
-0.7432 4.7094 1.4824
2.8337 1.6361 7.7145
0.0000 3.2721 2.5715
0.0000 3.2721 7.7145
2.8337 1.6361 2.5715
0.0000 0.0000 5.1430
0.0000 0.0000 0.0000

No. 4
Ac6Ir2Rh PBE optimized geometry; energy relative to the elements = -0.579 eV/atom; space-group type = P-31m (162)
1.0
6.9851 0.0000 0.0000
0.0000 6.5925 -3.8062
0.0000 0.0000 7.6124
Ac Ir Rh
6 2 1
Cartesian
1.9283 4.3891 5.0783
1.9283 2.2033 1.2721
1.9283 0.0000 5.0682
5.0568 4.3891 2.5341
5.0568 2.2033 -1.2721
5.0568 6.5925 -1.2620
3.4925 4.3950 0.0000
3.4926 2.1975 3.8062
3.4925 0.0000 0.0000

No. 5
BaCu3Rh PBE optimized geometry; energy relative to the elements = 0.039 eV/atom; offset from the most stable computed form = 5 meV per atom; space-group type = C2/m (12)
1.0
4.3432 0.0000 0.0000
-2.1716 7.4935 -0.1755
0.0000 -2.8069 6.2688
Rh Cu Ba
2 6 2
Cartesian
0.0000 4.7932 4.8258
2.1716 -0.1065 1.2675
0.0000 2.8500 3.2481
2.1716 1.8366 2.8452
2.1716 -0.4286 3.8448
0.0000 0.3388 2.7451
2.1716 4.3479 3.3481
0.0000 5.1152 2.2484
2.1716 2.6090 6.0874
0.0000 2.0776 0.0058

No. 6
Pr4Ge2O PBE optimized geometry; offset from the most stable computed form = 318 meV per atom; space-group type = I4/mmm (139)
1.0
-0.0736 4.5376 1.2093
-2.9767 -0.9805 3.4980
5.1883 0.4632 7.6979
Pr O Ge
4 1 2
Cartesian
1.3022 2.7044 8.1721
0.8359 1.3160 4.2331
-1.4883 -0.4903 1.7490
-0.0368 2.2688 0.6046
0.0000 0.0000 0.0000
3.1976 0.8533 6.1132
-1.0596 3.1671 6.2920

No. 7
ErSc5Bi3 PBE optimized geometry; energy relative to the elements = -0.410 eV/atom; space-group type = P6_3/mcm (193)
1.0
-3.5736 0.9082 5.0808
-7.2326 -2.8169 -4.5835
5.0168 -5.9220 4.5871
Bi Sc Er
6 10 2
Cartesian
-6.4450 -4.5736 -1.7763
-7.4896 -1.1920 0.7627
-2.3665 -5.5842 1.2728
-3.4229 -2.2466 3.8115
0.6556 -3.2571 6.8607
-3.3166 -0.7167 -0.2654
-5.1104 -0.2654 2.2705
-0.9944 -1.3089 5.3520
0.9337 -4.8871 1.5303
-0.8531 -4.4330 4.0707
-4.7950 -6.5219 -0.2676
-4.9363 -3.3977 1.0137
-3.1495 -3.8518 -1.5267
-5.6958 -1.6434 -1.7732
-4.1515 -5.1213 3.8129
-1.6379 -2.7095 1.2715
-1.7868 0.4541 2.5404
0.0000 0.0000 0.0000

No. 8
YTlMo2 PBE optimized geometry; energy relative to the elements = 0.357 eV/atom; offset from the most stable computed form = 208 meV per atom; space-group type = Cmm2 (35)
1.0
3.0828 -0.0046 0.0000
-1.1617 2.8556 0.0000
0.0000 0.0000 9.5415
Tl Mo Y
1 2 1
Cartesian
0.0000 0.0000 4.5677
0.0000 0.0000 0.2559
0.9606 1.4255 2.1069
0.9606 1.4255 7.3817

No. 9
AcTb4 PBE optimized geometry; energy relative to the elements = 0.039 eV/atom; offset from the most stable computed form = 0 meV per atom; space-group type = Immm (71)
1.0
3.5205 0.0029 -0.8760
-0.4805 5.3850 -1.9163
0.3602 0.1532 8.9396
Tb Ac
4 1
Cartesian
2.4067 4.2342 -1.5816
0.3191 3.3432 5.0365
3.0810 2.1980 1.1108
0.9935 1.3071 7.7288
1.4598 5.4631 2.1155

No. 10
Na3Tl3RuO8 PBE optimized geometry; calculated total energy = -5.06 eV/atom; space-group type = R-3m (166)
1.0
-1.7809 -6.4140 1.2672
6.4201 1.4847 -1.5804
-2.5342 1.8903 6.0066
O Na Tl Ru
8 3 3 1
Cartesian
2.1580 -0.3713 1.1533
-1.0911 -0.8162 2.0632
4.2174 1.4554 2.9035
3.1961 -2.2228 3.6302
-0.0530 -2.6677 4.5402
-2.1124 -4.4944 2.7900
0.5355 0.6040 3.8100
1.5695 -3.6430 1.8835
3.2101 0.7424 -0.7902
2.3196 -2.4647 -0.1566
0.0000 0.0000 0.0000
1.0525 -1.5195 2.8467
1.9429 1.6875 2.2131
-2.1576 -2.2619 3.6369
-1.2671 0.9451 3.0033

No. 11
CsSn3Pb2 PBE optimized geometry; energy relative to the elements = -0.075 eV/atom; offset from the most stable computed form = 0 meV per atom; space-group type = C2/m (12)
1.0
-5.4334 -0.0914 1.3393
1.1558 -5.5193 -7.3817
2.3228 -3.7718 9.1658
Pb Sn Cs
4 6 2
Cartesian
0.4193 -8.2787 1.1360
1.0581 -4.4861 3.9863
-3.0129 -4.8965 -0.8629
-2.3741 -1.1038 1.9874
-1.4537 -3.3788 5.5660
-2.2606 -4.1593 2.2393
-0.5011 -6.0038 -2.4427
-2.6753 -7.6738 0.3169
0.7206 -1.7088 2.8065
0.3058 -5.2232 0.8841
-1.6310 -7.3686 4.5742
-0.3237 -2.0140 -1.4508

No. 12
Li2YAl2Au2 PBE optimized geometry; energy relative to the elements = -0.599 eV/atom; space-group type = C2/m (12)
1.0
4.5044 0.0000 0.0000
-2.2522 3.9006 -0.3264
0.0000 -1.9374 7.4532
Li Al Au Y
2 2 2 1
Cartesian
2.2522 1.6889 4.0306
0.0000 0.2742 3.0962
2.2522 -0.8202 5.2855
0.0000 2.7833 1.8413
0.0000 0.5201 5.6241
2.2522 1.4431 1.5027
0.0000 0.0000 0.0000

No. 13
OsPt3F PBE optimized geometry; offset from the most stable computed form = 0 meV per atom; space-group type = Pm-3m (221)
1.0
-0.5766 3.5151 -2.4024
-2.8803 -2.1073 -2.3922
-3.1354 1.2895 2.6393
F Pt Os
1 3 1
Cartesian
0.0000 0.0000 0.0000
-1.5677 0.6448 1.3197
-0.2883 1.7576 -1.2012
-1.4402 -1.0537 -1.1961
-3.2962 1.3486 -1.0776

No. 14
La2FeRe2 PBE optimized geometry; energy relative to the elements = 1.693 eV/atom; offset from the most stable computed form = 1320 meV per atom; space-group type = I4/mmm (139)
1.0
4.6825 0.0000 0.0000
0.0000 4.6825 0.0000
2.3413 2.3413 5.6353
Re La Fe
2 2 1
Cartesian
4.6826 4.6826 4.4820
2.3413 2.3413 1.1533
2.3413 4.6825 2.8176
4.6825 2.3413 2.8176
0.0000 0.0000 0.0000

No. 15
ScZn2CuN PBE optimized geometry; calculated total energy = -3.35 eV/atom; space-group type = P4/mmm (123)
1.0
4.3329 0.0000 0.0000
0.0000 4.9738 0.0000
0.0000 0.0000 4.3329
Zn Sc N Cu
2 1 1 1
Cartesian
2.1664 0.0000 0.0000
0.0000 0.0000 2.1664
0.0000 2.4869 0.0000
2.1664 2.4869 2.1664
0.0000 0.0000 0.0000

No. 16
Tb4Sm8Dy PBE optimized geometry; energy relative to the elements = 0.195 eV/atom; space-group type = R-3m (166)
1.0
-6.0475 0.8222 -4.0279
-0.4281 -2.9478 6.6782
2.8777 8.9914 4.1534
Sm Tb Dy
8 4 1
Cartesian
-1.3342 4.5229 5.9144
-2.2637 2.3430 0.8892
-0.8324 5.4922 2.3710
-3.8211 6.5139 0.4292
0.2232 0.3520 6.3744
-4.0565 4.8930 4.1013
0.4586 1.9728 2.7023
-2.7656 1.3737 4.4326
-3.2378 -1.0628 1.3251
-3.0238 0.4111 -2.0140
0.0000 0.0000 0.0000
-0.2141 -1.4739 3.3391
1.2248 3.0218 5.4158

No. 17
Ac7Ga2Ru2 PBE optimized geometry; energy relative to the elements = -0.185 eV/atom; space-group type = Cmmm (65)
1.0
7.3033 -0.0031 -1.1264
0.0031 7.4839 0.0035
-1.5793 -0.0021 7.2189
Ru Ga Ac
2 2 7
Cartesian
1.1227 7.4815 4.6868
4.6045 -0.0028 1.4091
4.8400 3.7375 5.1517
0.8871 3.7412 0.9443
2.8640 5.5654 3.0491
3.6537 5.5576 -0.5604
0.0000 0.0000 0.0000
2.0734 1.9211 6.6563
6.5157 5.5550 2.4858
-0.7886 1.9237 3.6101
2.8631 1.9133 3.0468

No. 18
NaCdGe2 PBE optimized geometry; energy relative to the elements = 0.084 eV/atom; space-group type = P4/mmm (123)
1.0
-0.0466 2.8760 3.2539
-3.1365 -2.3178 2.0038
3.0635 -2.3285 2.1019
Ge Na Cd
2 1 1
Cartesian
-1.5683 -1.1589 1.0019
1.5318 -1.1643 1.0510
-0.0233 1.4380 1.6269
-0.0598 -0.8852 3.6798

No. 19
Mg8Tl2Zn PBE optimized geometry; energy relative to the elements = -0.008 eV/atom; space-group type = C2/m (12)
1.0
-3.1934 1.7120 -3.2860
-3.3927 -6.1482 0.0939
-1.0922 4.3795 6.9838
Mg Tl Zn
8 2 1
Cartesian
-5.5261 -3.1330 0.0975
-3.5873 -0.6425 -0.4892
-2.1522 3.0763 3.6942
-4.9406 4.5579 3.5353
-2.7377 -4.6147 0.2564
-1.7313 0.4700 1.9274
-5.9470 -0.5268 1.8643
-4.0910 0.5858 4.2809
-4.4118 2.1397 1.7616
-3.2665 -2.1964 2.0302
-1.5967 0.8560 -1.6430

No. 20
Sr2LiTlNi PBE optimized geometry; energy relative to the elements = -0.050 eV/atom; offset from the most stable computed form = 0 meV per atom; space-group type = P4/mmm (123)
1.0
5.7566 0.0000 0.0000
0.0000 5.7566 0.0000
0.0000 0.0000 5.0457
Tl Li Sr Ni
1 1 2 1
Cartesian
0.0000 0.0000 2.5229
2.8783 2.8783 2.5229
2.8783 0.0000 0.0000
0.0000 2.8783 0.0000
0.0000 0.0000 0.0000

No. 21
NaAg2SbCl6 PBE optimized geometry; calculated total energy = -3.10 eV/atom; space-group type = P1 (1)
1.0
7.0195 -0.0025 -0.0006
-3.5120 6.0850 0.0008
-3.5082 -2.0254 6.2339
Cl Ag Na Sb
6 2 1 1
Cartesian
-2.3707 -0.2311 4.3324
2.3964 0.1757 1.1489
-1.2498 1.9864 1.1473
1.0438 2.2584 4.3371
-2.0199 4.1384 4.3284
2.5155 4.0020 1.1473
0.0558 0.0248 5.5481
0.0500 4.0839 2.0885
3.5619 2.0553 3.0187
0.0526 4.0831 5.9593

No. 22
PaAgO3 PBE optimized geometry; calculated total energy = -7.86 eV/atom; space-group type = Pm-3m (221)
1.0
4.3447 0.0000 0.0000
0.0000 4.3447 0.0000
0.0000 0.0000 4.3447
O Ag Pa
3 1 1
Cartesian
2.1723 2.1723 0.0000
0.0000 2.1723 2.1723
2.1723 0.0000 2.1723
0.0000 0.0000 0.0000
2.1723 2.1723 2.1723

No. 23
Li8AlAg2 PBE optimized geometry; energy relative to the elements = -0.081 eV/atom; offset from the most stable computed form = 0 meV per atom; space-group type = C2/m (12)
1.0
4.4798 0.2476 -0.1677
-0.4607 6.4816 -2.2843
0.2228 0.3201 6.8767
Al Ag Li
1 2 8
Cartesian
2.2399 0.1238 -0.0839
-0.2036 4.1641 1.1614
-0.0343 2.6376 3.4310
4.1856 6.7309 2.4672
-0.1226 1.9308 -0.4398
0.0563 0.3184 1.9575
4.3645 5.1186 4.8645
1.9496 5.0688 -0.0834
2.2922 1.9806 4.5081
2.0735 4.6574 2.9777
2.1683 2.3920 1.4470

No. 24
TaCrIr2 PBE optimized geometry; energy relative to the elements = -0.191 eV/atom; offset from the most stable computed form = 246 meV per atom; space-group type = C2/m (12)
1.0
4.7596 0.0027 -0.0058
3.9538 2.6498 -0.0058
0.7878 0.2398 4.6809
Ir Cr Ta
2 1 1
Cartesian
4.7781 1.4545 2.2688
8.6860 2.6441 0.0543
2.3753 0.7231 1.1674
7.1260 2.1692 3.5021

We obtain mass density values of 7.8; 8.2; 5.6; 8.8; 7.1; 6.3; 7.7; 9.6; 8.3; 6.9; 6.8; 7.1; 16.6; 9.5; 4.5; 7.6; 8.4; 5.6; 4.4; 4.4; 3.6; 7.8; 2.4; 17.4 Mg/m³ for the records listed above, in that order.